This record from Alexandria via LeMat-Bulk describes a geometry-optimized Mg2CoSbO6 structure. The functional is PBE+U.

abc: 7.5652 5.2018 5.3807
angles: 89.48 90.00 90.00
With the nearest neighbours (Å) after each atom.
Atoms (fractional coordinates):
Mg  0.2500  0.5183  0.4318  4 O 2.08-2.10
Mg  0.7500  0.4817  0.5682  4 O 2.08-2.10
Mg  0.2500  0.0072  0.9614  4 O 2.04-2.20
Mg  0.7500  0.9928  0.0386  4 O 2.04-2.20
Co  0.5000  0.5000  0.0000  6 O 2.02-2.05
Co  0.0000  0.5000  0.0000  6 O 2.02-2.05
Sb  0.5000  0.0000  0.5000  6 O 1.97-2.07
Sb  0.0000  0.0000  0.5000  6 O 1.97-2.07
O  0.5686  0.3182  0.3219  1 Sb 1.97, 1 Co 2.03, 1 Mg 2.09
O  0.9312  0.1725  0.8136  1 Sb 1.99, 1 Mg 2.05, 1 Co 2.05
O  0.0686  0.6818  0.6781  1 Sb 1.97, 1 Co 2.03, 1 Mg 2.09
O  0.4312  0.8275  0.1864  1 Sb 1.99, 1 Mg 2.05, 1 Co 2.05
O  0.5688  0.1725  0.8136  1 Sb 1.99, 1 Mg 2.05, 1 Co 2.05
O  0.0688  0.8275  0.1864  1 Sb 1.99, 1 Mg 2.05, 1 Co 2.05
O  0.7500  0.8594  0.4274  2 Sb 2.07, 2 Mg 2.10-2.20
O  0.9314  0.3182  0.3219  1 Sb 1.97, 1 Co 2.03, 1 Mg 2.09
O  0.2500  0.3819  0.0695  2 Co 2.02, 2 Mg 2.04-2.08
O  0.4314  0.6818  0.6781  1 Sb 1.97, 1 Co 2.03, 1 Mg 2.09
O  0.2500  0.1406  0.5726  2 Sb 2.07, 2 Mg 2.10-2.20
O  0.7500  0.6181  0.9305  2 Co 2.02, 2 Mg 2.04-2.08

Output
total magnetic moment = 8.00 Bohr magnetons per cell
raw total energy = -0.219 Ha/atom